No. 1
The following is a DFT calculation (PBE-GGA) of a relaxed Si2OsRu crystal.

DOS(E_F) = 0.707 states/eV/atom
Space-group type = Imm2 (44)
Total magnetic moment = 0.0 μB per cell
Formation energy (no corrections) = -218 meV per atom

```
Si2OsRu
1.0
-1.447 2.004 4.636
1.447 -2.004 4.636
1.447 2.004 -4.636
Si Os Ru
2 1 1
direct
0.000 0.000 0.000 Si
0.732 0.232 0.500 Si
0.227 0.727 0.500 Os
0.501 0.501 0.000 Ru
```

***

No. 2
The following is a DFT calculation (PBE-GGA) of a relaxed SiOsRu crystal.

E above lowest polymorph = 264 meV per atom
DOS(E_F) = 1.490 states/eV/atom
Space-group type = F-43m (216)
Total magnetic moment = 0.0 μB per cell
Formation energy (no corrections) = 43 meV per atom

```
SiOsRu
1.0
0.000 2.822 2.822
2.822 0.000 2.822
2.822 2.822 0.000
Si Os Ru
1 1 1
direct
0.000 0.000 0.000 Si
0.250 0.250 0.250 Os
0.750 0.750 0.750 Ru
```

***

No. 3
The following is a DFT calculation (PBE-GGA) of a relaxed SiOs2Ru crystal.

DOS(E_F) = 0.902 states/eV/atom
Space-group type = I-4m2 (119)
Total magnetic moment = 0.0 μB per cell
Formation energy (no corrections) = 55 meV per atom

```
SiOs2Ru
1.0
-1.897 1.897 3.824
1.897 -1.897 3.824
1.897 1.897 -3.824
Si Os Ru
1 2 1
direct
0.000 0.000 0.000 Si
0.250 0.750 0.500 Os
0.500 0.500 0.000 Os
0.750 0.250 0.500 Ru
```

***

No. 4
The following is a DFT calculation (PBE-GGA) of a relaxed SiOsRu2 crystal.

DOS(E_F) = 1.387 states/eV/atom
Space-group type = Cmm2 (35)
Total magnetic moment = 1.1 μB per cell
Formation energy (no corrections) = 290 meV per atom

```
SiOsRu2
1.0
1.418 -2.354 0.000
1.418 2.354 0.000
0.000 0.000 8.449
Si Os Ru
1 1 2
direct
0.000 0.000 0.000 Si
0.500 0.500 0.768 Os
0.000 0.000 0.497 Ru
0.500 0.500 0.224 Ru
```

***

No. 5
The following is a DFT calculation (PBE-GGA) of a relaxed SiOsRu2 crystal.

DOS(E_F) = 0.730 states/eV/atom
Space-group type = Immm (71)
Total magnetic moment = 0.0 μB per cell
Formation energy (no corrections) = -145 meV per atom

```
SiOsRu2
1.0
-1.432 2.162 4.358
1.432 -2.162 4.358
1.432 2.162 -4.358
Si Os Ru
1 1 2
direct
0.000 0.000 0.000 Si
0.500 0.500 0.000 Os
0.221 0.721 0.500 Ru
0.779 0.279 0.500 Ru
```

***

No. 6
The following is a DFT calculation (PBE-GGA) of a relaxed SiOsRu2 crystal.

DOS(E_F) = 0.953 states/eV/atom
Space-group type = I-4m2 (119)
Total magnetic moment = 0.0 μB per cell
Formation energy (no corrections) = -21 meV per atom

```
SiOsRu2
1.0
-1.888 1.888 3.829
1.888 -1.888 3.829
1.888 1.888 -3.829
Si Os Ru
1 1 2
direct
0.000 0.000 0.000 Si
0.250 0.750 0.500 Os
0.500 0.500 0.000 Ru
0.750 0.250 0.500 Ru
```